No. 1
A plane-wave DFT calculation with GGA-PBE was carried out for a relaxed Pm2Sm6Mg crystal.

Properties
formation energy from the elements = 0.0167 eV per atom
raw total energy = -4.36 eV/atom
density of states at the Fermi level = 24.44 states/eV/cell

abc: 10.748 10.748 5.114
angles: 90.00 90.00 90.00
Fractional coordinates of all 18 atoms:
1 Pm 0.165 0.165 0.000
2 Pm 0.335 0.665 0.500
3 Pm 0.665 0.335 0.500
4 Pm 0.835 0.835 0.000
5 Sm 0.000 0.333 0.500
6 Sm 0.000 0.667 0.500
7 Sm 0.167 0.500 0.000
8 Sm 0.167 0.833 0.000
9 Sm 0.333 0.000 0.500
10 Sm 0.333 0.333 0.500
11 Sm 0.500 0.167 0.000
12 Sm 0.500 0.833 0.000
13 Sm 0.667 0.000 0.500
14 Sm 0.667 0.667 0.500
15 Sm 0.833 0.167 0.000
16 Sm 0.833 0.500 0.000
17 Mg 0.000 0.000 0.500
18 Mg 0.500 0.500 0.000


No. 2
A plane-wave DFT calculation with GGA-PBE was carried out for a relaxed Pm5Sm2Mg crystal.

Properties
formation energy from the elements = 0.0011 eV per atom
raw total energy = -4.35 eV/atom
density of states at the Fermi level = 7.15 states/eV/cell

abc: 7.171 7.171 7.171
angles: 119.88 119.88 90.21
Fractional coordinates of all 8 atoms:
1 Pm 0.000 0.000 0.000
2 Pm 0.000 0.000 0.500
3 Pm 0.000 0.500 0.000
4 Pm 0.500 0.000 0.000
5 Pm 0.500 0.500 0.500
6 Sm 0.000 0.500 0.500
7 Sm 0.500 0.000 0.500
8 Mg 0.500 0.500 0.000


No. 3
A plane-wave DFT calculation with GGA-PBE was carried out for a relaxed Pm2Sm6Mg crystal.

Properties
formation energy from the elements = 0.0155 eV per atom
raw total energy = -4.36 eV/atom
density of states at the Fermi level = 28.76 states/eV/cell

abc: 11.216 11.216 9.281
angles: 108.67 108.67 32.71
Fractional coordinates of all 18 atoms:
1 Pm 0.059 0.385 0.303
2 Pm 0.385 0.059 0.803
3 Pm 0.615 0.941 0.197
4 Pm 0.941 0.615 0.697
5 Sm 0.048 0.735 0.475
6 Sm 0.172 0.504 0.087
7 Sm 0.265 0.952 0.025
8 Sm 0.275 0.619 0.864
9 Sm 0.381 0.725 0.636
10 Sm 0.496 0.828 0.413
11 Sm 0.504 0.172 0.587
12 Sm 0.619 0.275 0.364
13 Sm 0.725 0.381 0.136
14 Sm 0.735 0.048 0.975
15 Sm 0.828 0.496 0.913
16 Sm 0.952 0.265 0.525
17 Mg 0.170 0.830 0.250
18 Mg 0.830 0.170 0.750


No. 4
A plane-wave DFT calculation with GGA-PBE was carried out for a relaxed Pm4SmMg3 crystal.

Properties
formation energy from the elements = -0.0319 eV per atom
raw total energy = -3.60 eV/atom
density of states at the Fermi level = 9.91 states/eV/cell

abc: 3.832 5.595 11.294
angles: 90.00 90.00 90.00
Fractional coordinates of all 8 atoms:
1 Pm 0.000 0.000 0.000
2 Pm 0.000 0.000 0.500
3 Pm 0.000 0.500 0.237
4 Pm 0.000 0.500 0.763
5 Sm 0.500 0.500 0.500
6 Mg 0.500 0.000 0.249
7 Mg 0.500 0.000 0.751
8 Mg 0.500 0.500 0.000


No. 5
A plane-wave DFT calculation with GGA-PBE was carried out for a relaxed Pm6Sm2Mg crystal.

Properties
excess energy over the best structure of this formula in the dataset = 49 meV/atom
formation energy from the elements = 0.0646 eV per atom
raw total energy = -4.33 eV/atom
density of states at the Fermi level = 23.83 states/eV/cell

abc: 11.642 11.642 11.642
angles: 149.41 131.80 58.18
Fractional coordinates of all 18 atoms:
1 Pm 0.003 0.427 0.774
2 Pm 0.082 0.082 0.000
3 Pm 0.152 0.927 0.424
4 Pm 0.348 0.771 0.774
5 Pm 0.418 0.418 0.000
6 Pm 0.497 0.271 0.424
7 Pm 0.503 0.729 0.576
8 Pm 0.582 0.582 0.000
9 Pm 0.652 0.229 0.226
10 Pm 0.848 0.073 0.576
11 Pm 0.918 0.918 0.000
12 Pm 0.997 0.573 0.226
13 Sm 0.170 0.454 0.624
14 Sm 0.330 0.954 0.285
15 Sm 0.670 0.046 0.715
16 Sm 0.830 0.546 0.376
17 Mg 0.250 0.250 0.000
18 Mg 0.750 0.750 0.000


No. 6
A plane-wave DFT calculation with GGA-PBE was carried out for a relaxed Pm6SmMg crystal.

Properties
excess energy over the best structure of this formula in the dataset = 289 meV/atom
formation energy from the elements = 0.3023 eV per atom
raw total energy = -4.05 eV/atom
density of states at the Fermi level = 12.68 states/eV/cell

abc: 7.218 7.218 6.911
angles: 103.61 103.61 121.41
Fractional coordinates of all 8 atoms:
1 Pm 0.012 0.012 0.255
2 Pm 0.258 0.710 0.251
3 Pm 0.290 0.742 0.749
4 Pm 0.710 0.258 0.251
5 Pm 0.742 0.290 0.749
6 Pm 0.988 0.988 0.745
7 Sm 0.500 0.500 0.000
8 Mg 0.500 0.500 0.500


No. 7
A plane-wave DFT calculation with GGA-PBE was carried out for a relaxed Pm6Sm3Mg crystal.

Properties
excess energy over the best structure of this formula in the dataset = 32 meV/atom
formation energy from the elements = 0.1021 eV per atom
raw total energy = -4.32 eV/atom
density of states at the Fermi level = 24.28 states/eV/cell

abc: 10.092 10.092 9.447
angles: 90.00 90.00 135.57
Fractional coordinates of all 20 atoms:
1 Pm 0.044 0.956 0.500
2 Pm 0.056 0.447 0.964
3 Pm 0.175 0.305 0.694
4 Pm 0.291 0.709 0.665
5 Pm 0.305 0.175 0.194
6 Pm 0.447 0.056 0.464
7 Pm 0.553 0.944 0.964
8 Pm 0.695 0.825 0.694
9 Pm 0.709 0.291 0.165
10 Pm 0.825 0.695 0.194
11 Pm 0.944 0.553 0.464
12 Pm 0.956 0.044 0.000
13 Sm 0.128 0.377 0.326
14 Sm 0.377 0.128 0.826
15 Sm 0.459 0.541 0.993
16 Sm 0.541 0.459 0.493
17 Sm 0.623 0.872 0.326
18 Sm 0.872 0.623 0.826
19 Mg 0.217 0.783 0.184
20 Mg 0.783 0.217 0.684


No. 8
A plane-wave DFT calculation with GGA-PBE was carried out for a relaxed PmSm2Mg4 crystal.

Properties
excess energy over the best structure of this formula in the dataset = 221 meV/atom
formation energy from the elements = 0.3400 eV per atom
raw total energy = -2.60 eV/atom
density of states at the Fermi level = 6.03 states/eV/cell

abc: 7.225 7.225 5.544
angles: 90.00 90.00 130.45
Fractional coordinates of all 7 atoms:
1 Pm 0.000 0.000 0.000
2 Sm 0.365 0.635 0.500
3 Sm 0.635 0.365 0.500
4 Mg 0.117 0.883 0.500
5 Mg 0.243 0.757 0.000
6 Mg 0.757 0.243 0.000
7 Mg 0.883 0.117 0.500